(1)
# Ac2ErRh

A relaxed structure of Ac2ErRh (PBE-GGA, Alexandria).

Summary:
The energy of formation from the pure elements is -0.19 eV per atom. For the total energy, the calculation gives -20.881 eV/cell. The excess energy over the best structure of this formula in the dataset comes out at 0.0 kJ/mol of atoms.

Unit cell a=3.7952 b=3.7952 c=8.9079 alpha=90.00 beta=90.00 gamma=90.00
Closest atoms and distances in Å follow each position.
Sites, in units of the cell vectors:
Er1 0.5000 0.5000 0.5000  4 Er 3.80, 8 Ac 3.80
Ac1 0.0000 0.0000 0.8024  4 Rh 3.21, 1 Ac 3.52
Ac2 0.0000 0.0000 0.1976  4 Rh 3.21, 1 Ac 3.52
Rh1 0.5000 0.5000 0.0000  8 Ac 3.21



(2)
# SrZrCl2

A relaxed structure of SrZrCl2 (PBE-GGA, Alexandria).

Summary:
Its formation energy from raw total energies is -4.5 eV/f.u. For the total energy, the calculation gives -18.424 eV/cell. The excess energy over the best structure of this formula in the dataset comes out at 0.0 kJ/mol of atoms.

Unit cell a=10.2728 b=10.2728 c=10.2728 alpha=20.91 beta=20.91 gamma=20.91
Closest atoms and distances in Å follow each position.
Sites, in units of the cell vectors:
Cl1 0.0203 0.0203 0.0203  3 Zr 2.68
Sr1 0.5064 0.5064 0.5064  3 Cl 2.82
Zr1 0.7398 0.7398 0.7398  3 Cl 2.68
Cl2 0.2334 0.2334 0.2334  3 Sr 2.82



(3)
# TmNi12B5

A relaxed structure of TmNi12B5 (PBE-GGA, Alexandria).

Summary:
The energy of formation from the pure elements is -0.19 eV per atom. For the total energy, the calculation gives -110.652 eV/cell.

Unit cell a=6.1968 b=6.1968 c=6.1968 alpha=102.63 beta=112.94 gamma=113.05
Closest atoms and distances in Å follow each position.
Sites, in units of the cell vectors:
B1 0.5000 0.8877 0.3877  1 B 1.74
B2 0.5000 0.1123 0.6123  1 B 1.74
Ni1 0.5434 0.8218 0.7216  4 B 2.13-2.28
Ni2 0.8997 0.1782 0.7216  4 B 2.13-2.28
Ni3 0.6805 0.3156 0.9960  3 B 2.00-2.11
B3 0.6379 0.6379 0.0000  1 B 1.89, 6 Ni 2.04-2.11
Ni4 0.1845 0.3954 0.2109  2 B 2.04-2.06
Ni5 0.3195 0.3156 0.6351  3 B 2.00-2.11
B4 0.3621 0.3621 0.0000  1 B 1.89, 6 Ni 2.04-2.11
Ni6 0.3195 0.6844 0.0040  3 B 2.00-2.11
Ni7 0.1003 0.8218 0.2784  4 B 2.13-2.28
Ni8 0.4566 0.1782 0.2784  4 B 2.13-2.28
B5 0.0000 0.0000 0.0000  8 Ni 2.06-2.26
Ni9 0.1845 0.9736 0.7891  2 B 2.04-2.06
Ni10 0.8155 0.0264 0.2109  2 B 2.04-2.06
Tm1 0.0000 0.5000 0.5000  12 Ni 2.57-2.67
Ni11 0.8155 0.6046 0.7891  2 B 2.04-2.06
Ni12 0.6805 0.6844 0.3649  3 B 2.00-2.11



(4)
# KZr2Tc

A relaxed structure of KZr2Tc (PBE-GGA, Alexandria).

Summary:
The energy of formation from the pure elements is 1.04 eV per atom. For the total energy, the calculation gives -24.418 eV/cell. The excess energy over the best structure of this formula in the dataset comes out at 86.8 kJ/mol of atoms.

Unit cell a=5.8645 b=5.8645 c=5.8645 alpha=138.77 beta=138.77 gamma=59.72
Closest atoms and distances in Å follow each position.
Sites, in units of the cell vectors:
Tc1 0.7500 0.2500 0.5000  4 Zr 2.92
Zr1 0.0000 0.0000 0.0000  4 K 2.92
Zr2 0.2500 0.7500 0.5000  4 Tc 2.92
K1 0.5000 0.5000 0.0000  4 Zr 2.92



(5)
# ZrRu2

A relaxed structure of ZrRu2 (PBE-GGA, Alexandria).

Summary:
The energy of formation from the pure elements is 0.02 eV per atom. For the total energy, the calculation gives -27.036 eV/cell.

Unit cell a=4.4643 b=4.4643 c=2.8532 alpha=90.00 beta=90.00 gamma=120.00
Closest atoms and distances in Å follow each position.
Sites, in units of the cell vectors:
Ru1 0.3333 0.6667 0.7099  3 Zr 2.71, 5 Ru 2.84-2.85
Zr1 0.0000 0.0000 0.0000  6 Ru 2.71, 2 Zr 2.85
Ru2 0.6667 0.3333 0.2901  3 Zr 2.71, 5 Ru 2.84-2.85



(6)
# Mg6MnZn

A relaxed structure of Mg6MnZn (PBE-GGA, Alexandria).

Summary:
The energy of formation from the pure elements is 0.09 eV per atom. For the total energy, the calculation gives -19.329 eV/cell. The excess energy over the best structure of this formula in the dataset comes out at 0.5 kJ/mol of atoms.

Unit cell a=6.1416 b=6.1416 c=4.9094 alpha=90.00 beta=90.00 gamma=119.84
Closest atoms and distances in Å follow each position.
Sites, in units of the cell vectors:
Mg1 0.6659 0.8318 0.0000  8 Mg 3.04-3.09, 2 Zn 3.06-3.09, 2 Mn 3.06-3.08
Mg2 0.3286 0.6714 0.5000  10 Mg 2.99-3.16, 2 Mn 2.99
Zn1 0.6658 0.3342 0.0000  10 Mg 3.01-3.09, 2 Mn 3.08
Mn1 0.1677 0.8323 0.0000  10 Mg 2.99-3.08, 2 Zn 3.08
Mg3 0.8395 0.6653 0.5000  8 Mg 2.99-3.16, 2 Mn 3.01, 2 Zn 3.02
Mg4 0.1682 0.3341 0.0000  8 Mg 3.04-3.09, 2 Zn 3.06-3.09, 2 Mn 3.06-3.08
Mg5 0.3347 0.1605 0.5000  8 Mg 2.99-3.16, 2 Mn 3.01, 2 Zn 3.02
Mg6 0.8296 0.1704 0.5000  2 Zn 3.01, 10 Mg 3.01-3.13



(7)
# LaAs2WSe

A relaxed structure of LaAs2WSe (PBE-GGA, Alexandria).

Summary:
Its formation energy from raw total energies is 8.6 eV/f.u. For the total energy, the calculation gives -22.046 eV/cell. The excess energy over the best structure of this formula in the dataset comes out at 199.2 kJ/mol of atoms.

Unit cell a=5.5156 b=5.5156 c=5.4634 alpha=90.00 beta=90.00 gamma=90.00
Closest atoms and distances in Å follow each position.
Sites, in units of the cell vectors:
W1 0.5000 0.5000 0.5000  8 As 3.88, 4 Se 3.90
As1 0.0000 0.5000 0.0000  2 La 2.76
La1 0.0000 0.0000 0.0000  2 Se 2.73, 4 As 2.76
As2 0.5000 0.0000 0.0000  2 La 2.76
Se1 0.0000 0.0000 0.5000  2 La 2.73



(8)
# CaP2Os

A relaxed structure of CaP2Os (PBE-GGA, Alexandria).

Summary:
The energy of formation from the pure elements is -0.18 eV per atom. For the total energy, the calculation gives -24.778 eV/cell. The excess energy over the best structure of this formula in the dataset comes out at 40.4 kJ/mol of atoms.

Unit cell a=3.0555 b=3.0555 c=6.9119 alpha=90.00 beta=90.00 gamma=90.02
Closest atoms and distances in Å follow each position.
Sites, in units of the cell vectors:
P1 0.0000 0.0000 0.5470  4 Os 2.58, 1 P 2.81
Os1 0.5000 0.5000 0.7500  8 P 2.58
Ca1 0.5000 0.5000 0.2500  8 P 2.98, 4 Ca 3.06
P2 0.0000 0.0000 0.9530  4 Os 2.58, 1 P 2.81